Zr2BeVO: optimized geometry, GGA+U.

Results
DFT total energy = -36.491 eV for the cell shown
magnetic moment = 2.74 μB/f.u.
symmetry = P4/mmm

abc: 4.6675 3.4415 4.6675
angles: 90.00 90.00 90.00
Atoms (fractional coordinates):
Be1 0.0000 0.5000 0.0000
O1 0.0000 0.0000 0.0000
Zr1 0.0000 0.0000 0.5000
Zr2 0.5000 0.0000 0.0000
V1 0.5000 0.5000 0.5000



BeWO2: optimized geometry, GGA+U.

Results
DFT total energy = -50.334 eV for the cell shown
magnetic moment = 0.00 μB/f.u.
symmetry = I-42d

abc: 4.4924 4.4924 5.0665
angles: 63.68 63.68 90.00
Atoms (fractional coordinates):
Be1 0.5000 0.5000 0.0000
Be2 0.2500 0.7500 0.5000
O1 0.5262 0.1250 0.2500
O2 0.2238 0.6250 0.2500
O3 0.3750 0.4738 0.7500
O4 0.8750 0.7762 0.7500
W1 0.0000 0.0000 0.0000
W2 0.7500 0.2500 0.5000



BeWO2: optimized geometry, GGA+U.

Results
DFT total energy = -26.152 eV for the cell shown
magnetic moment = 0.00 μB/f.u.
symmetry = R-3m

abc: 5.9646 5.9646 5.9646
angles: 27.69 27.69 27.69
Atoms (fractional coordinates):
Be1 0.5000 0.5000 0.5000
O1 0.8876 0.8876 0.8876
O2 0.1124 0.1124 0.1124
W1 0.0000 0.0000 0.0000



BeW2O: optimized geometry, GGA+U.

Results
magnetic moment = 0.00 μB/f.u.
energy above the most stable polymorph in this dataset = 0.079 eV per atom
symmetry = Fm-3m

abc: 4.0813 4.0813 4.0813
angles: 60.00 60.00 60.00
Atoms (fractional coordinates):
Be1 0.0000 0.0000 0.0000
O1 0.5000 0.5000 0.5000
W1 0.2500 0.2500 0.2500
W2 0.7500 0.7500 0.7500



BeW2O: optimized geometry, GGA+U.

Results
magnetic moment = 4.01 μB/f.u.
energy above the most stable polymorph in this dataset = 0.000 eV per atom
symmetry = I-42d

abc: 5.0002 5.0002 6.3779
angles: 66.92 66.92 90.00
Atoms (fractional coordinates):
Be1 0.5000 0.5000 0.0000
Be2 0.2500 0.7500 0.5000
O1 0.0000 0.0000 0.0000
O2 0.7500 0.2500 0.5000
W1 0.6690 0.1250 0.2500
W2 0.0810 0.6250 0.2500
W3 0.3750 0.3310 0.7500
W4 0.8750 0.9190 0.7500



BeW3O: optimized geometry, GGA+U.

Results
DFT total energy = -26.334 eV for the cell shown
magnetic moment = 0.00 μB/f.u.
symmetry = Pm-3m

abc: 4.1351 4.1351 4.1351
angles: 90.00 90.00 90.00
Atoms (fractional coordinates):
Be1 0.5000 0.5000 0.5000
O1 0.0000 0.0000 0.0000
W1 0.0000 0.5000 0.0000
W2 0.0000 0.0000 0.5000
W3 0.5000 0.0000 0.0000